DFT (PBE-GGA) results for an optimized crystal structure of CaGa2TcGe.

Values from the calculation:
Energy of formation from the pure elements, meV per atom: -192.4
Uncorrected energy, eV/atom: -4.80
M_tot, μB/atom: 0.000

Cell lengths 4.8324, 4.8324, 4.8005 Å; angles 90.00, 90.00, 90.00 degrees
Closest atoms and distances in Å follow each position.
Positions (direct):
Ca: 0.5000 0.5000 0.5000  8 Ga 3.41, 4 Ge 3.42
Ga: 0.0000 0.5000 0.0000  2 Tc 2.42
Ga: 0.5000 0.0000 0.0000  2 Tc 2.42
Tc: 0.0000 0.0000 0.0000  2 Ge 2.40, 4 Ga 2.42
Ge: 0.0000 0.0000 0.5000  2 Tc 2.40